Record 1
{"formula": "Th2ZrSb", "functional": "PBE", "state": "optimized geometry", "e_form_raw_ev_per_atom": -0.36, "space_group": "No. 123", "rho_g_cm3": 10.41, "lattice_angstrom": [[4.752, 0.000, 0.000], [0.000, 4.752, 0.000], [0.000, 0.000, 4.784]], "species": ["Th", "Th", "Zr", "Sb"], "frac_coords": [[0.000, 0.500, 0.000], [0.500, 0.000, 0.000], [0.000, 0.000, 0.500], [0.500, 0.500, 0.500]]}

---

Record 2
{"formula": "Zr2Mn3Al", "functional": "PBE", "state": "optimized geometry", "delta_e_f_kj_per_mol_fu": -155, "space_group": "No. 12", "rho_g_cm3": 6.79, "lattice_angstrom": [[4.228, -2.546, 0.000], [4.228, 2.546, 0.000], [-2.819, 0.000, 4.252]], "species": ["Zr", "Zr", "Mn", "Mn", "Mn", "Al"], "frac_coords": [[0.119, 0.119, 0.362], [0.881, 0.881, 0.638], [0.000, 0.500, 0.000], [0.500, 0.000, 0.000], [0.500, 0.500, 0.000], [0.500, 0.500, 0.500]]}

---

Record 3
{"formula": "AsPd4Au", "functional": "PBE", "state": "optimized geometry", "delta_e_f_kj_per_mol_fu": -85, "space_group": "No. 15", "rho_g_cm3": 11.47, "lattice_angstrom": [[4.102, -5.453, 0.000], [4.102, 5.453, 0.000], [-2.759, 0.000, 4.514]], "species": ["As", "As", "Pd", "Pd", "Pd", "Pd", "Pd", "Pd", "Pd", "Pd", "Au", "Au"], "frac_coords": [[0.161, 0.839, 0.750], [0.839, 0.161, 0.250], [0.112, 0.217, 0.744], [0.118, 0.513, 0.290], [0.217, 0.112, 0.244], [0.487, 0.882, 0.210], [0.513, 0.118, 0.790], [0.783, 0.888, 0.756], [0.882, 0.487, 0.710], [0.888, 0.783, 0.256], [0.473, 0.527, 0.750], [0.527, 0.473, 0.250]]}

---

Record 4
{"formula": "Ac2La12Dy5", "functional": "PBE", "state": "optimized geometry", "delta_e_f_kj_per_mol_fu": 184, "space_group": "No. 12", "rho_g_cm3": 7.06, "lattice_angstrom": [[6.731, -5.928, 0.000], [6.731, 5.928, 0.000], [-4.435, 0.000, 8.647]], "species": ["Ac", "Ac", "La", "La", "La", "La", "La", "La", "La", "La", "La", "La", "La", "La", "Dy", "Dy", "Dy", "Dy", "Dy"], "frac_coords": [[0.233, 0.767, 0.000], [0.767, 0.233, 0.000], [0.073, 0.073, 0.775], [0.073, 0.554, 0.201], [0.106, 0.674, 0.571], [0.326, 0.894, 0.429], [0.371, 0.371, 0.053], [0.446, 0.927, 0.799], [0.554, 0.073, 0.201], [0.629, 0.629, 0.947], [0.674, 0.106, 0.571], [0.894, 0.326, 0.429], [0.927, 0.446, 0.799], [0.927, 0.927, 0.225], [0.195, 0.195, 0.243], [0.311, 0.311, 0.667], [0.500, 0.500, 0.500], [0.689, 0.689, 0.333], [0.805, 0.805, 0.757]]}

---

Record 5
{"formula": "Sc4AlZnPd2", "functional": "PBE", "state": "optimized geometry", "delta_e_f_kj_per_mol_fu": -488, "space_group": "No. 166", "rho_g_cm3": 5.38, "lattice_angstrom": [[2.364, 1.365, 7.739], [-2.364, 1.365, 7.739], [0.000, -2.730, 7.739]], "species": ["Sc", "Sc", "Sc", "Sc", "Al", "Zn", "Pd", "Pd"], "frac_coords": [[0.123, 0.123, 0.123], [0.373, 0.373, 0.373], [0.627, 0.627, 0.627], [0.877, 0.877, 0.877], [0.500, 0.500, 0.500], [0.000, 0.000, 0.000], [0.246, 0.246, 0.246], [0.754, 0.754, 0.754]]}

---

Record 6
{"formula": "TmZnCdNi", "functional": "PBE", "state": "optimized geometry", "delta_e_f_kj_per_mol_fu": -93, "space_group": "No. 216", "rho_g_cm3": 9.34, "lattice_angstrom": [[0.000, 3.303, 3.303], [3.303, 0.000, 3.303], [3.303, 3.303, 0.000]], "species": ["Tm", "Zn", "Cd", "Ni"], "frac_coords": [[0.000, 0.000, 0.000], [0.250, 0.250, 0.250], [0.500, 0.500, 0.500], [0.750, 0.750, 0.750]]}